CeHo4Er3: optimized geometry, PBE.

```
data_CeHo4Er3
_chemical_formula_sum 'Ce2 Ho8 Er6'
_space_group_name_H-M_alt 'C 1 2/m 1'
_space_group_IT_number 12
_cell_length_a 23.209
_cell_length_b 3.406
_cell_length_c 6.650
_cell_angle_alpha 90.00
_cell_angle_beta 106.63
_cell_angle_gamma 90.00
loop_
_space_group_symop_operation_xyz
'x,y,z'
'-x,-y,-z'
'-x,y,-z'
'x,-y,z'
'x+1/2,y+1/2,z'
'-x+1/2,-y+1/2,-z'
'-x+1/2,y+1/2,-z'
'x+1/2,-y+1/2,z'
loop_
_atom_site_label
_atom_site_fract_x
_atom_site_fract_y
_atom_site_fract_z
Ce1 0.000 0.000 0.000
Ho1 0.125 0.500 0.881
Ho2 0.241 0.000 0.241
Er1 0.000 0.500 0.500
Er2 0.125 0.500 0.367
```

Results
* relative energy among the computed polymorphs: 1.18 eV/f.u.
* size of the total moment: 0.12 μB/atom
* DFT formation energy: 1.567 eV per formula unit